Material: Ta2VInF
Method: DFT, PBE with a Hubbard U
State: relaxed

Properties
The value obtained for the calculated volume is 22.5 Å³ per atom. Its symmetry is P4/mmm. The total magnetization is 0.000 μB/cell. The raw total energy is -5.887 eV/atom.

Cell lengths 4.6053, 5.2966, 4.6053 Å; angles 90.00, 90.00, 90.00 degrees
Last column: nearest neighbours and their distance in Å.
Fractional coordinates of all 5 atoms:
Ta (0.0000, 0.0000, 0.5000)  2 V 2.30
Ta (0.5000, 0.0000, 0.0000)  2 V 2.30
V (0.0000, 0.0000, 0.0000)  4 Ta 2.30
F (0.5000, 0.5000, 0.5000)  4 In 3.26, 8 Ta 3.51
In (0.0000, 0.5000, 0.0000)  2 V 2.65